Entry 1:
# Ir2SeBr | Alexandria via LeMat-Bulk | PBE | relaxed
data_Ir2SeBr
_chemical_formula_sum 'Ir2 Se1 Br1'
_cell_length_a 2.9070
_cell_length_b 4.4633
_cell_length_c 5.2849
_cell_angle_alpha 90.00
_cell_angle_beta 90.00
_cell_angle_gamma 90.00
_space_group_name_H-M_alt 'P m m m'
_space_group_IT_number 47
_space_group_name_Hall '-P 2 2'
loop_
_atom_site_label
_atom_site_type_symbol
_atom_site_fract_x
_atom_site_fract_y
_atom_site_fract_z
Ir1 Ir 0.0000 0.0000 0.0000
Ir2 Ir 0.5000 0.0000 0.5000
Se1 Se 0.0000 0.5000 0.5000
Br1 Br 0.5000 0.5000 0.0000
# E_form (uncorrected), meV/atom: 955
# Size of the total moment, μB per cell: 0.0
# Electronic total energy, eV/atom: -4.76

Entry 2:
# Ir2SeBr | Alexandria via LeMat-Bulk | PBE | relaxed
data_Ir2SeBr
_chemical_formula_sum 'Ir4 Se2 Br2'
_cell_length_a 8.3509
_cell_length_b 3.0838
_cell_length_c 7.4744
_cell_angle_alpha 90.00
_cell_angle_beta 118.93
_cell_angle_gamma 90.00
_space_group_name_H-M_alt 'C 1 2/m 1'
_space_group_IT_number 12
_space_group_name_Hall '-C 2y'
loop_
_atom_site_label
_atom_site_type_symbol
_atom_site_fract_x
_atom_site_fract_y
_atom_site_fract_z
Ir1 Ir 0.1515 0.0000 0.3400
Se1 Se 0.0000 0.5000 0.5000
Br1 Br 0.0000 0.5000 0.0000
# E_form (uncorrected), meV/atom: 488
# Size of the total moment, μB per cell: 0.0
# Electronic total energy, eV/atom: -5.23

| no. | energy relative to the lowest polymorph listed for this composition (meV/atom) |
| --- | --- |
| 1 | 709.1 |
| 2 | 241.8 |